Compound: RbTlHgI2
Source: Alexandria via LeMat-Bulk
Functional: PBE
Structure: relaxed

```
RbTlHgI2
1.0
6.657 0.000 0.000
0.000 6.657 0.000
0.000 0.000 5.907
I Tl Hg Rb
2 1 1 1
Direct
0.000 0.500 0.000 I
0.500 0.000 0.000 I
0.000 0.000 0.000 Tl
0.000 0.000 0.500 Hg
0.500 0.500 0.500 Rb
```

Properties
The final energy comes out at -2.05 eV/atom. The uncorrected formation energy is -704 meV per atom. As for the space group: P4/mmm.